Arrangement A

VASP calculation (PBE) on OsAuN2F after structural relaxation.

Geometry as CIF:
```
data_OsAuN2F
_cell_length_a 3.836
_cell_length_b 3.836
_cell_length_c 4.406
_cell_angle_alpha 90.00
_cell_angle_beta 90.00
_cell_angle_gamma 90.00
_space_group_name_H-M_alt 'P 4/m m m'
_space_group_IT_number 123
_space_group_name_Hall '-P 4 2'
loop_
_atom_site_label
_atom_site_fract_x
_atom_site_fract_y
_atom_site_fract_z
Os1 0.000 0.000 0.000
Au1 0.500 0.500 0.500
N1 0.000 0.500 0.000
F1 0.000 0.000 0.500
```


Arrangement B

VASP calculation (PBE) on OsAuN2F after structural relaxation.

Geometry as CIF:
```
data_OsAuN2F
_cell_length_a 4.088
_cell_length_b 4.088
_cell_length_c 4.127
_cell_angle_alpha 90.00
_cell_angle_beta 90.00
_cell_angle_gamma 90.00
_space_group_name_H-M_alt 'P 4/m m m'
_space_group_IT_number 123
_space_group_name_Hall '-P 4 2'
loop_
_atom_site_label
_atom_site_fract_x
_atom_site_fract_y
_atom_site_fract_z
Os1 0.000 0.000 0.000
Au1 0.500 0.500 0.500
N1 0.000 0.500 0.500
F1 0.500 0.500 0.000
```


Most stable: arrangement A


Arrangement A

VASP calculation (PBE) on PAuNF2 after structural relaxation.

Geometry as CIF:
```
data_PAuNF2
_cell_length_a 4.351
_cell_length_b 4.351
_cell_length_c 4.120
_cell_angle_alpha 90.00
_cell_angle_beta 90.00
_cell_angle_gamma 90.00
_space_group_name_H-M_alt 'P 4/m m m'
_space_group_IT_number 123
_space_group_name_Hall '-P 4 2'
loop_
_atom_site_label
_atom_site_fract_x
_atom_site_fract_y
_atom_site_fract_z
P1 0.000 0.000 0.000
Au1 0.500 0.500 0.500
N1 0.500 0.500 0.000
F1 0.000 0.500 0.500
```


Arrangement B

VASP calculation (PBE) on PAuNF2 after structural relaxation.

Geometry as CIF:
```
data_PAuNF2
_cell_length_a 4.445
_cell_length_b 4.445
_cell_length_c 3.264
_cell_angle_alpha 90.00
_cell_angle_beta 90.00
_cell_angle_gamma 90.00
_space_group_name_H-M_alt 'P 4/m m m'
_space_group_IT_number 123
_space_group_name_Hall '-P 4 2'
loop_
_atom_site_label
_atom_site_fract_x
_atom_site_fract_y
_atom_site_fract_z
P1 0.000 0.000 0.000
Au1 0.500 0.500 0.500
N1 0.000 0.000 0.500
F1 0.000 0.500 0.000
```


Most stable: arrangement B


Arrangement A

VASP calculation (PBE) on PAuN2F after structural relaxation.

Geometry as CIF:
```
data_PAuN2F
_cell_length_a 3.322
_cell_length_b 3.322
_cell_length_c 5.899
_cell_angle_alpha 90.00
_cell_angle_beta 90.00
_cell_angle_gamma 90.00
_space_group_name_H-M_alt 'P 4/m m m'
_space_group_IT_number 123
_space_group_name_Hall '-P 4 2'
loop_
_atom_site_label
_atom_site_fract_x
_atom_site_fract_y
_atom_site_fract_z
P1 0.000 0.000 0.000
Au1 0.500 0.500 0.500
N1 0.000 0.500 0.000
F1 0.000 0.000 0.500
```


Arrangement B

VASP calculation (PBE) on PAuN2F after structural relaxation.

Geometry as CIF:
```
data_PAuN2F
_cell_length_a 4.079
_cell_length_b 4.079
_cell_length_c 4.130
_cell_angle_alpha 90.00
_cell_angle_beta 90.00
_cell_angle_gamma 90.00
_space_group_name_H-M_alt 'P 4/m m m'
_space_group_IT_number 123
_space_group_name_Hall '-P 4 2'
loop_
_atom_site_label
_atom_site_fract_x
_atom_site_fract_y
_atom_site_fract_z
P1 0.000 0.000 0.000
Au1 0.500 0.500 0.500
N1 0.000 0.500 0.500
F1 0.500 0.500 0.000
```


Most stable: arrangement A